## Ca2TcPtO6 (GGA-PBE)

Data for a relaxed Ca2TcPtO6 crystal.

Cell and atoms, written as POSCAR:
```
Ca2TcPtO6
1.0
-2.6947 -2.4203 -2.4263
4.3496 -2.3897 -2.4469
0.0284 -3.9332 3.8919
O Ca Tc Pt
6 2 1 1
direct
0.7059 0.2408 0.2408 O
0.1707 0.0000 0.0000 O
0.7059 0.7592 0.7592 O
0.1566 0.5000 0.5000 O
0.7059 0.7592 0.2408 O
0.7059 0.2408 0.7592 O
0.0291 0.5000 0.0000 Ca
0.0291 0.0000 0.5000 Ca
0.5913 0.0000 0.0000 Tc
0.6462 0.5000 0.5000 Pt
```

Formation energy without anion corrections: -16.30 eV per formula unit

---

## Mg2Sc5ZnRh2 (GGA-PBE)

Data for a relaxed Mg2Sc5ZnRh2 crystal.

Cell and atoms, written as POSCAR:
```
Mg2Sc5ZnRh2
1.0
3.5017 0.0000 0.0000
0.0000 10.9320 0.0000
0.0000 0.0000 10.9320
Sc Zn Rh Mg
10 2 4 4
direct
0.5000 0.5000 0.0000 Sc
0.5000 0.0702 0.7996 Sc
0.5000 0.2996 0.5702 Sc
0.5000 0.5702 0.7004 Sc
0.5000 0.2004 0.0702 Sc
0.5000 0.7004 0.4298 Sc
0.5000 0.4298 0.2996 Sc
0.5000 0.0000 0.5000 Sc
0.5000 0.9298 0.2004 Sc
0.5000 0.7996 0.9298 Sc
0.0000 0.0000 0.0000 Zn
0.0000 0.5000 0.5000 Zn
0.0000 0.3709 0.1291 Rh
0.0000 0.1291 0.6291 Rh
0.0000 0.6291 0.8709 Rh
0.0000 0.8709 0.3709 Rh
0.0000 0.1752 0.3248 Mg
0.0000 0.8248 0.6752 Mg
0.0000 0.6752 0.1752 Mg
0.0000 0.3248 0.8248 Mg
```

E_form: -461 meV per atom

---

no.,total magnetic moment (μB/atom)
1,0.204
2,0.000